# 1
Material: In2PtSe2
Method: DFT, PBE
State: optimized geometry

```
In2PtSe2
1.0
6.933 0.000 0.000
0.000 6.933 0.000
0.000 0.000 5.066
Se Pt In
4 2 4
Direct
0.170 0.330 0.000
0.670 0.170 0.000
0.830 0.670 0.000
0.330 0.830 0.000
0.000 0.000 0.000
0.500 0.500 0.000
0.662 0.838 0.500
0.162 0.662 0.500
0.338 0.162 0.500
0.838 0.338 0.500
```

## Properties
Calculated total energy (eV per formula unit): -18.9
Space-group type: P4/mbm (127)
E_form (uncorrected) (meV per atom): -73
ρ (kg/m3): 7946
Volume (Å³/atom): 24.351

=====

# 2
Material: Cu2Pd5Au
Method: DFT, PBE
State: optimized geometry

```
Cu2Pd5Au
1.0
-2.530 1.052 0.088
-2.837 -2.786 -5.557
-3.558 -5.203 2.638
Pd Cu Au
5 2 1
Direct
0.633 0.600 0.134
0.633 0.134 0.600
0.000 0.500 0.500
0.367 0.866 0.400
0.367 0.400 0.866
0.254 0.246 0.246
0.746 0.754 0.754
0.000 0.000 0.000
```

## Properties
Calculated total energy (eV per formula unit): -37.7
Space-group type: Immm (71)
ΔE_f (eV/atom): -0.03
ρ (kg/m3): 11763
Volume (Å³/atom): 15.107

=====

# 3
Material: HoUOs
Method: DFT, PBE
State: optimized geometry

```
HoUOs
1.0
-1.310 -0.638 2.678
4.268 -1.191 1.804
-1.555 4.514 0.314
Ho U Os
1 1 1
Direct
0.675 0.667 0.333
0.025 0.000 0.000
0.300 0.333 0.667
```

## Properties
Calculated total energy (eV per formula unit): -26.5
Space-group type: P3m1 (156)
ΔE_f (eV/atom): 0.19
ρ (kg/m3): 16298
Volume (Å³/atom): 20.146

=====

# 4
Material: OsBrNF2
Method: DFT, PBE
State: optimized geometry

```
OsBrNF2
1.0
-0.811 -4.779 -0.635
3.713 -0.208 -3.174
2.267 -0.743 2.702
Os Br N F
1 1 1 2
Direct
0.500 0.500 0.500
0.000 0.000 0.000
0.000 0.000 0.500
0.000 0.500 0.000
0.500 0.000 0.000
```

## Properties
Calculated total energy (eV per formula unit): -16.9
Space-group type: P4/mmm (123)
E_form (uncorrected) (meV per atom): 1620
ρ (kg/m3): 6209
Volume (Å³/atom): 17.231

=====

# 5
Material: ZrTl2Ir
Method: DFT, PBE
State: optimized geometry

```
ZrTl2Ir
1.0
-7.297 -2.540 -5.573
-4.819 -3.480 -7.444
-5.921 -5.441 -5.107
Zr Ir Tl
1 1 2
Direct
0.250 0.250 0.250
0.750 0.750 0.750
0.007 0.007 0.007
0.493 0.493 0.493
```

## Properties
Calculated total energy (eV per formula unit): -20.8
Space-group type: R-3m (166)
ΔE_f (eV/atom): 0.33
ρ (kg/m3): 13501
Volume (Å³/atom): 21.284

=====

# 6
Material: Nd3Sm2Tl6
Method: DFT, PBE
State: optimized geometry

```
Nd3Sm2Tl6
1.0
-5.339 -1.862 1.978
1.655 -5.689 -0.888
5.936 3.311 10.066
Tl Nd Sm
6 3 2
Direct
0.572 0.072 0.145
0.928 0.428 0.855
0.715 0.715 0.429
0.428 0.928 0.855
0.285 0.285 0.571
0.072 0.572 0.145
0.146 0.146 0.292
0.854 0.854 0.708
0.000 0.000 0.000
0.423 0.423 0.847
0.577 0.577 0.153
```

## Properties
Calculated total energy (eV per formula unit): -37.3
Space-group type: I4/mmm (139)
ΔE_f (eV/atom): 0.06
ρ (kg/m3): 7965
Volume (Å³/atom): 37.143

=====

# 7
Material: TmPd7Au12
Method: DFT, PBE
State: optimized geometry

```
TmPd7Au12
1.0
7.197 0.301 0.451
-1.713 6.997 0.451
-1.713 -2.279 6.631
Pd Au Tm
7 12 1
Direct
0.900 0.900 0.325
0.900 0.325 0.900
0.675 0.100 0.100
0.100 0.675 0.100
0.100 0.100 0.675
0.325 0.900 0.900
0.500 0.500 0.500
0.919 0.662 0.662
0.081 0.338 0.338
0.338 0.338 0.081
0.762 0.500 0.238
0.238 0.500 0.762
0.338 0.081 0.338
0.500 0.762 0.238
0.662 0.919 0.662
0.762 0.238 0.500
0.500 0.238 0.762
0.238 0.762 0.500
0.662 0.662 0.919
0.000 0.000 0.000
```

## Properties
Calculated total energy (eV per formula unit): -83.9
Space-group type: R-3m (166)
ΔE_f (eV/atom): -0.19
ρ (kg/m3): 15475
Volume (Å³/atom): 17.584

=====

# 8
Material: ErFeOs
Method: DFT, PBE
State: optimized geometry

```
ErFeOs
1.0
5.251 -0.053 -0.100
-2.598 4.564 0.100
-2.628 -1.490 4.296
Er Os Fe
2 2 2
Direct
0.250 0.123 0.873
0.750 0.877 0.127
0.000 0.500 0.500
0.500 0.000 0.500
0.000 0.500 0.000
0.500 0.500 0.500
```

## Properties
Calculated total energy (eV per formula unit): -25.1
Space-group type: Imma (74)
ΔE_f (eV/atom): -0.28
ρ (kg/m3): 13516
Volume (Å³/atom): 16.927

=====

# 9
Material: Al4SnS7
Method: DFT, PBE
State: optimized geometry

```
Al4SnS7
1.0
6.006 0.000 0.000
0.000 6.441 0.000
0.000 0.000 15.092
Al Sn S
8 2 14
Direct
0.585 0.660 0.877
0.577 0.180 0.754
0.085 0.340 0.623
0.585 0.660 0.123
0.085 0.340 0.377
0.077 0.820 0.254
0.077 0.820 0.746
0.577 0.180 0.246
0.553 0.020 0.500
0.053 0.980 0.000
0.467 0.315 0.379
0.962 0.162 0.253
0.967 0.685 0.879
0.462 0.838 0.247
0.467 0.335 0.876
0.462 0.838 0.753
0.962 0.162 0.747
0.967 0.685 0.121
0.467 0.335 0.124
0.467 0.315 0.621
0.986 0.157 0.500
0.967 0.665 0.376
0.486 0.843 0.000
0.967 0.665 0.624
```

## Properties
Calculated total energy (eV per formula unit): -59.4
Space-group type: Pmn2_1 (31)
E_form (uncorrected) (meV per atom): -965
ρ (kg/m3): 2566
Volume (Å³/atom): 24.325

=====

# 10
Material: BaCrRe2
Method: DFT, PBE
State: optimized geometry

```
BaCrRe2
1.0
-1.476 -0.480 4.388
-0.778 3.768 2.619
-4.355 1.188 1.133
Re Cr Ba
2 1 1
Direct
0.250 0.250 0.250
0.750 0.750 0.750
0.000 0.000 0.000
0.500 0.500 0.500
```

## Properties
Calculated total energy (eV per formula unit): -30.0
Space-group type: Fm-3m (225)
ΔE_f (eV/atom): 1.61
ρ (kg/m3): 13084
Volume (Å³/atom): 17.823

=====

# 11
Material: Dy3Ho4Tm2
Method: DFT, PBE
State: optimized geometry

```
Dy3Ho4Tm2
1.0
4.964 0.000 0.000
-2.482 5.343 -5.196
0.000 -3.722 14.035
Dy Ho Tm
3 4 2
Direct
0.000 0.000 0.000
0.556 0.111 0.666
0.444 0.889 0.334
0.333 0.667 0.000
0.888 0.777 0.667
0.667 0.333 0.000
0.112 0.223 0.333
0.222 0.444 0.666
0.778 0.556 0.334
```

## Properties
Calculated total energy (eV per formula unit): -40.9
Space-group type: C2/m (12)
ΔE_f (eV/atom): 0.02
ρ (kg/m3): 8928
Volume (Å³/atom): 30.689

=====

# 12
Material: La2Tm6In
Method: DFT, PBE
State: optimized geometry

```
La2Tm6In
1.0
5.512 0.000 0.246
0.000 9.692 0.000
-0.462 0.000 10.302
Tm La In
12 4 2
Direct
0.500 0.176 0.924
0.500 0.486 0.672
0.000 0.986 0.828
0.500 0.824 0.076
0.000 0.676 0.576
0.500 0.144 0.600
0.000 0.644 0.900
0.500 0.856 0.400
0.500 0.514 0.328
0.000 0.356 0.100
0.000 0.324 0.424
0.000 0.014 0.172
0.000 0.686 0.250
0.000 0.314 0.750
0.500 0.186 0.250
0.500 0.814 0.750
0.500 0.500 0.000
0.000 0.000 0.500
```

## Properties
Calculated total energy (eV per formula unit): -39.5
Space-group type: Pnnm (58)
ΔE_f (eV/atom): -0.01
ρ (kg/m3): 8469
Volume (Å³/atom): 30.636